The following is a DFT calculation (PBE) of an optimized crystal structure of Ba2IrBr.

ΔE to the lowest computed polymorph = 416.4 meV/atom
Uncorrected formation energy = -441 meV/atom
Space-group type = I-4m2 (119)

abc: 6.8142 6.8142 6.8142
angles: 140.83 140.83 56.59
Atoms (fractional coordinates):
Ba: 0.2500 0.7500 0.5000
Ba: 0.0000 0.0000 0.0000
Ir: 0.7500 0.2500 0.5000
Br: 0.5000 0.5000 0.0000

---

The following is a DFT calculation (PBE) of an optimized crystal structure of Mg6AgHg2.

Energy of formation from the pure elements = -0.1541 eV/atom
ΔE to the lowest computed polymorph = 40.1 meV/atom
Space-group type = P-3m1 (164)

abc: 4.9118 4.9114 8.9947
angles: 90.00 90.00 120.00
Atoms (fractional coordinates):
Mg: 0.3333 0.6667 0.4028
Mg: 0.0000 0.0000 0.1803
Mg: 0.6667 0.3333 0.9472
Mg: 0.0000 0.0000 0.8197
Mg: 0.3333 0.6667 0.0528
Mg: 0.6667 0.3333 0.5972
Hg: 0.6666 0.3333 0.2689
Hg: 0.3334 0.6667 0.7311
Ag: 0.0000 0.0000 0.5000

---

Number 1: electronic total energy -0.2966 Ry per atom. Number 2: electronic total energy -0.1177 Ry per atom.